(1)
PBE ZnCd2Au, relaxed; total magnetic moment = 0.000 μB per atom; ΔE_f = -13 kJ/mol of formula units; space group = R3m; N(E_F) = 0.204 states/eV/atom
1.0
10.9353 0.3517 0.2069
10.4495 3.2424 0.2069
10.4495 1.7562 2.7334
Au Cd Zn
1 2 1
Direct
0.7557 0.7557 0.7557 Au
0.0086 0.0086 0.0086 Cd
0.2449 0.2449 0.2449 Cd
0.4909 0.4909 0.4909 Zn


(2)
PBE ZnCd3Au4, relaxed; total magnetic moment = 0.000 μB per atom; offset from the most stable computed form = 0.0000 eV per atom; ΔE_f = -137 kJ/mol of formula units; space group = P4/mmm; N(E_F) = 0.287 states/eV/atom
1.0
3.1620 0.0000 0.0000
0.0000 3.1620 0.0000
0.0000 0.0000 14.8909
Zn Au Cd
1 4 3
Direct
0.5000 0.5000 0.0000 Zn
0.0000 0.0000 0.8927 Au
0.0000 0.0000 0.1073 Au
0.0000 0.0000 0.3700 Au
0.0000 0.0000 0.6300 Au
0.5000 0.5000 0.2401 Cd
0.5000 0.5000 0.5000 Cd
0.5000 0.5000 0.7599 Cd


(3)
PBE Zn3CdAu2, relaxed; total magnetic moment = 0.000 μB per atom; offset from the most stable computed form = 0.0307 eV per atom; ΔE_f = -63 kJ/mol of formula units; space group = C2/m; N(E_F) = 0.281 states/eV/atom
1.0
4.0281 0.0000 0.0000
-2.0140 8.7419 -3.2050
0.0000 -0.8563 9.6559
Zn Cd Au
9 3 6
Direct
0.0455 0.0910 0.3517 Zn
0.9545 0.9090 0.6483 Zn
0.2040 0.4079 0.4225 Zn
0.7960 0.5921 0.5775 Zn
0.6264 0.2529 0.1974 Zn
0.3736 0.7471 0.8026 Zn
0.5000 0.0000 0.5000 Zn
0.3111 0.6222 0.0166 Zn
0.6889 0.3778 0.9834 Zn
0.1314 0.2629 0.7260 Cd
0.8686 0.7371 0.2740 Cd
0.0000 0.0000 0.0000 Cd
0.2262 0.4525 0.1763 Au
0.7738 0.5475 0.8237 Au
0.4652 0.9304 0.1780 Au
0.5348 0.0696 0.8220 Au
0.3596 0.7193 0.4948 Au
0.6404 0.2807 0.5052 Au


(4)
PBE ZnCd2Au, relaxed; total magnetic moment = 0.000 μB per atom; ΔE_f = -39 kJ/mol of formula units; space group = C2/c; N(E_F) = 0.231 states/eV/atom
1.0
5.2817 0.0000 0.0000
0.0000 6.5245 0.0196
-2.6409 -1.6093 4.6426
Zn Cd Au
2 4 2
Direct
0.2695 0.7500 0.0000 Zn
0.7305 0.2500 0.0000 Zn
0.2274 0.6128 0.4497 Cd
0.7726 0.3872 0.5503 Cd
0.2224 0.1128 0.4497 Cd
0.7776 0.8872 0.5503 Cd
0.2349 0.2500 0.0000 Au
0.7651 0.7500 0.0000 Au


(5)
PBE ZnCdAu4, relaxed; total magnetic moment = 0.000 μB per atom; offset from the most stable computed form = 0.0150 eV per atom; ΔE_f = -62 kJ/mol of formula units; space group = P4/mmm; N(E_F) = 0.212 states/eV/atom
1.0
3.9585 0.0000 0.0000
0.0000 3.9585 0.0000
0.0000 0.0000 7.9250
Zn Cd Au
1 1 4
Direct
0.5000 0.5000 0.5000 Zn
0.0000 0.0000 0.0000 Cd
0.5000 0.0000 0.7292 Au
0.0000 0.5000 0.7292 Au
0.5000 0.0000 0.2708 Au
0.0000 0.5000 0.2708 Au


(6)
PBE Zn3CdAu, relaxed; total magnetic moment = 0.000 μB per atom; offset from the most stable computed form = 0.0000 eV per atom; ΔE_f = -33 kJ/mol of formula units; space group = Cmcm; N(E_F) = 0.332 states/eV/atom
1.0
-2.1048 2.6174 -3.6338
-3.5936 -3.7770 -0.6391
-2.2714 4.9833 4.9049
Zn Cd Au
6 2 2
Direct
0.7500 0.5856 0.6754 Zn
0.7500 0.0898 0.6754 Zn
0.2500 0.9102 0.3246 Zn
0.2500 0.4144 0.3246 Zn
0.0000 0.0000 0.0000 Zn
0.5000 0.0000 0.0000 Zn
0.7500 0.5689 0.1379 Cd
0.2500 0.4311 0.8621 Cd
0.7500 0.1716 0.3432 Au
0.2500 0.8284 0.6568 Au


(7)
PBE ZnCd2Au, relaxed; total magnetic moment = 0.000 μB per atom; ΔE_f = 10 kJ/mol of formula units; space group = R-3m; N(E_F) = 0.709 states/eV/atom
1.0
-3.3070 7.0706 -5.2376
-5.4781 4.9101 -5.8517
-5.7238 6.6888 -3.2955
Au Cd Zn
1 2 1
Direct
0.7500 0.7500 0.7500 Au
0.9987 0.9987 0.9987 Cd
0.5013 0.5013 0.5013 Cd
0.2500 0.2500 0.2500 Zn


(8)
PBE ZnCdAu2, relaxed; total magnetic moment = 0.000 μB per atom; ΔE_f = -43 kJ/mol of formula units; space group = P4mm; N(E_F) = 0.460 states/eV/atom
1.0
-2.6431 2.3777 0.6232
-2.4272 -2.3803 -1.2126
-0.6108 -2.0586 5.2634
Zn Au Cd
1 2 1
Direct
0.5000 0.5000 0.7774 Zn
0.0000 0.0000 0.9748 Au
0.5000 0.5000 0.2604 Au
0.0000 0.0000 0.4874 Cd


(9)
PBE ZnCd4Au, relaxed; total magnetic moment = 0.000 μB per atom; offset from the most stable computed form = 0.2655 eV per atom; ΔE_f = 110 kJ/mol of formula units; space group = F-43m; N(E_F) = 0.284 states/eV/atom
1.0
1.9289 -3.9825 3.5418
-3.5407 -2.5003 3.6521
-1.4836 -5.4187 -0.7498
Zn Cd Au
1 4 1
Direct
0.7500 0.7500 0.7500 Zn
0.8755 0.3748 0.3748 Cd
0.3748 0.3748 0.8755 Cd
0.3748 0.8755 0.3748 Cd
0.3748 0.3748 0.3748 Cd
0.0000 0.0000 0.0000 Au


(10)
PBE ZnCd2Au3, relaxed; total magnetic moment = 0.000 μB per atom; offset from the most stable computed form = 0.0000 eV per atom; ΔE_f = -102 kJ/mol of formula units; space group = Cmmm; N(E_F) = 0.283 states/eV/atom
1.0
4.6048 0.0000 0.0201
2.3024 6.9665 0.0101
-0.0299 0.0000 6.8907
Zn Cd Au
2 4 6
Direct
0.3436 0.3128 0.0000 Zn
0.6564 0.6872 0.0000 Zn
0.0000 0.0000 0.0000 Cd
0.0000 0.0000 0.5000 Cd
0.3342 0.3316 0.5000 Cd
0.6658 0.6684 0.5000 Cd
0.8220 0.3560 0.7786 Au
0.5000 0.0000 0.2444 Au
0.1780 0.6440 0.2214 Au
0.8220 0.3560 0.2214 Au
0.1780 0.6440 0.7786 Au
0.5000 0.0000 0.7556 Au


(11)
PBE ZnCdAu2, relaxed; total magnetic moment = 0.000 μB per atom; ΔE_f = -58 kJ/mol of formula units; space group = Cmmm; N(E_F) = 0.204 states/eV/atom
1.0
-0.5908 0.4494 -3.1859
-4.6221 -0.5179 0.7841
0.3137 4.6678 0.6003
Au Cd Zn
2 1 1
Direct
0.0000 0.0000 0.5000 Au
0.0000 0.5000 0.0000 Au
0.5000 0.5000 0.5000 Cd
0.5000 0.0000 0.0000 Zn


(12)
PBE Zn6CdAu4, relaxed; total magnetic moment = 0.000 μB per atom; ΔE_f = -109 kJ/mol of formula units; space group = P-6m2; N(E_F) = 0.379 states/eV/atom
1.0
4.0431 0.0000 0.0000
0.0000 7.5884 0.0000
0.0000 -3.7942 6.5718
Zn Cd Au
6 1 4
Direct
0.0000 0.5373 0.0746 Zn
0.5000 0.5964 0.7982 Zn
0.0000 0.5373 0.4627 Zn
0.0000 0.9254 0.4627 Zn
0.5000 0.2018 0.7982 Zn
0.5000 0.2018 0.4036 Zn
0.0000 0.0000 0.0000 Cd
0.5000 0.8102 0.6205 Au
0.5000 0.3795 0.1898 Au
0.5000 0.8102 0.1898 Au
0.0000 0.3333 0.6667 Au